No. 1
This record from the Alexandria database describes a geometry-optimized AcBiTePb structure. The functional is PBE.

```
AcBiTePb
1.0
8.159 0.000 0.000
0.000 8.159 0.000
0.000 0.000 8.159
Ac Bi Te Pb
4 4 4 4
direct
0.000 0.000 0.000
0.000 0.500 0.500
0.500 0.000 0.500
0.500 0.500 0.000
0.250 0.250 0.250
0.250 0.750 0.750
0.750 0.250 0.750
0.750 0.750 0.250
0.250 0.250 0.750
0.250 0.750 0.250
0.750 0.250 0.250
0.750 0.750 0.750
0.000 0.000 0.500
0.000 0.500 0.000
0.500 0.000 0.000
0.500 0.500 0.500
```

Results
Symmetry ... F-43m (216)
Formation energy (no corrections) ... -0.65 eV/atom

---

No. 2
This record from the Alexandria database describes a geometry-optimized Ac6BiTe2Pb3 structure. The functional is PBE.

```
Ac6BiTe2Pb3
1.0
10.598 -2.404 0.000
10.598 2.404 0.000
-2.386 0.000 9.458
Ac Bi Te Pb
6 1 2 3
direct
0.001 0.001 0.250
0.332 0.332 0.422
0.335 0.335 0.913
0.665 0.665 0.087
0.668 0.668 0.578
0.999 0.999 0.750
0.500 0.500 0.500
0.167 0.167 0.834
0.833 0.833 0.166
0.168 0.168 0.331
0.500 0.500 0.000
0.832 0.832 0.669
```

Results
Symmetry ... C2/m (12)
Formation energy (no corrections) ... -0.94 eV/atom

---

No. 3
This record from the Alexandria database describes a geometry-optimized Ac8Bi4Te3Pb structure. The functional is PBE.

```
Ac8Bi4Te3Pb
1.0
4.833 2.791 7.883
-4.833 2.791 7.883
0.000 -5.581 7.883
Ac Bi Te Pb
8 4 3 1
direct
0.245 0.752 0.752
0.248 0.248 0.248
0.248 0.248 0.755
0.248 0.755 0.248
0.752 0.245 0.752
0.752 0.752 0.245
0.752 0.752 0.752
0.755 0.248 0.248
0.000 0.000 0.500
0.000 0.500 0.000
0.500 0.000 0.000
0.500 0.500 0.500
0.000 0.500 0.500
0.500 0.000 0.500
0.500 0.500 0.000
0.000 0.000 0.000
```

Results
Symmetry ... R-3m (166)
Formation energy (no corrections) ... -1.17 eV/atom

---

No. 4
This record from the Alexandria database describes a geometry-optimized AcTmBiPb structure. The functional is PBE.

```
AcTmBiPb
1.0
8.043 0.000 0.000
0.000 8.043 0.000
0.000 0.000 8.043
Ac Tm Bi Pb
4 4 4 4
direct
0.000 0.000 0.000
0.000 0.500 0.500
0.500 0.000 0.500
0.500 0.500 0.000
0.000 0.000 0.500
0.000 0.500 0.000
0.500 0.000 0.000
0.500 0.500 0.500
0.250 0.250 0.250
0.250 0.750 0.750
0.750 0.250 0.750
0.750 0.750 0.250
0.250 0.250 0.750
0.250 0.750 0.250
0.750 0.250 0.250
0.750 0.750 0.750
```

Results
Symmetry ... F-43m (216)
DFT formation energy ... -455 meV/atom

---

No. 5
This record from the Alexandria database describes a geometry-optimized AcZnBiPb structure. The functional is PBE.

```
AcZnBiPb
1.0
7.943 0.000 0.000
0.000 7.943 0.000
0.000 0.000 7.943
Ac Zn Bi Pb
4 4 4 4
direct
0.000 0.000 0.000
0.000 0.500 0.500
0.500 0.000 0.500
0.500 0.500 0.000
0.250 0.250 0.750
0.250 0.750 0.250
0.750 0.250 0.250
0.750 0.750 0.750
0.250 0.250 0.250
0.250 0.750 0.750
0.750 0.250 0.750
0.750 0.750 0.250
0.000 0.000 0.500
0.000 0.500 0.000
0.500 0.000 0.000
0.500 0.500 0.500
```

Results
Symmetry ... F-43m (216)
DFT formation energy ... -241 meV/atom

---

No. 6
This record from the Alexandria database describes a geometry-optimized Ac2Bi3Pd9 structure. The functional is PBE.

```
Ac2Bi3Pd9
1.0
7.225 -4.227 0.000
7.225 4.227 0.000
0.000 0.000 9.628
Ac Bi Pd
4 6 18
direct
0.022 0.671 0.750
0.329 0.978 0.750
0.671 0.022 0.250
0.978 0.329 0.250
0.000 0.000 0.000
0.000 0.000 0.500
0.318 0.318 0.000
0.318 0.318 0.500
0.682 0.682 0.000
0.682 0.682 0.500
0.012 0.652 0.095
0.012 0.652 0.405
0.158 0.842 0.250
0.337 0.663 0.527
0.337 0.663 0.973
0.348 0.988 0.095
0.348 0.988 0.405
0.365 0.447 0.250
0.447 0.365 0.750
0.553 0.635 0.250
0.635 0.553 0.750
0.652 0.012 0.595
0.652 0.012 0.905
0.663 0.337 0.027
0.663 0.337 0.473
0.842 0.158 0.750
0.988 0.348 0.595
0.988 0.348 0.905
```

Results
Symmetry ... Cmcm (63)
DFT formation energy ... -554 meV/atom

---

No. 7
This record from the Alexandria database describes a geometry-optimized AcBi3Pd structure. The functional is PBE.

```
AcBi3Pd
1.0
5.458 0.000 0.000
0.000 5.458 0.000
0.000 0.000 5.458
Ac Bi Pd
1 3 1
direct
0.000 0.000 0.000
0.000 0.500 0.500
0.500 0.000 0.500
0.500 0.500 0.000
0.500 0.500 0.500
```

Results
Symmetry ... Pm-3m (221)
DFT formation energy ... -290 meV/atom
Distance to the lowest polymorph of the same formula ... 0.184 eV per atom

---

No. 8
This record from the Alexandria database describes a geometry-optimized Ac2BiPd2 structure. The functional is PBE.

```
Ac2BiPd2
1.0
8.112 0.000 0.000
0.000 8.112 0.000
0.000 0.000 4.265
Ac Bi Pd
4 2 4
direct
0.179 0.321 0.000
0.321 0.821 0.000
0.679 0.179 0.000
0.821 0.679 0.000
0.000 0.000 0.500
0.500 0.500 0.500
0.121 0.621 0.500
0.379 0.121 0.500
0.621 0.879 0.500
0.879 0.379 0.500
```

Results
Symmetry ... P4/mbm (127)
DFT formation energy ... -878 meV/atom